## K2NaLi (GGA-PBE)

Data for an optimized crystal structure of K2NaLi.

The structure in extended XYZ format:
```
4
Lattice="4.5920 0.0000 0.0000 0.0000 4.5920 0.0000 0.0000 0.0000 9.3243" Properties=species:S:1:pos:R:3 pbc="T T T"
K 0.0000 0.0000 2.2016
K 0.0000 0.0000 7.1227
Na 2.2960 2.2960 4.6622
Li 2.2960 2.2960 0.0000
```

- E_tot: -5.03 eV for the cell shown
- E_form: 0.10 eV per atom
- E above lowest polymorph: 0.000 eV per atom
- Spin magnetization: 0.00 μB per cell

## K2RbAg (GGA-PBE)

Data for an optimized crystal structure of K2RbAg.

The structure in extended XYZ format:
```
8
Lattice="-5.5898 5.5898 3.8104 5.5898 -5.5898 3.8104 5.5898 5.5898 -3.8104" Properties=species:S:1:pos:R:3 pbc="T T T"
K 2.7949 1.7104 -0.9526
K 3.8794 -2.7949 4.7631
K 2.7949 3.8794 2.8578
K 1.7104 8.3848 0.9526
Rb 5.5898 0.0000 1.9052
Rb 0.0000 0.0000 3.8104
Ag 0.0000 0.0000 0.0000
Ag 0.0000 5.5898 1.9052
```

- E_tot: -11.27 eV for the cell shown
- E_form: 0.09 eV per atom
- E above lowest polymorph: 0.061 eV per atom
- Spin magnetization: 0.00 μB per cell

## HgOs3W (GGA-PBE)

Data for an optimized crystal structure of HgOs3W.

The structure in extended XYZ format:
```
5
Lattice="4.7509 0.0000 0.0000 0.0000 4.7509 0.0000 0.0000 0.0000 4.7509" Properties=species:S:1:pos:R:3 pbc="T T T"
Hg 0.0000 0.0000 0.0000
Os 0.0000 0.0000 2.3755
Os 0.0000 2.3755 0.0000
Os 2.3755 0.0000 0.0000
W 2.3755 2.3755 2.3755
```

- E_tot: -29.20 eV for the cell shown
- E_form: 3.55 eV per atom
- E above lowest polymorph: 1.327 eV per atom
- Spin magnetization: 0.00 μB per cell

## HfZr5Ir6 (GGA-PBE)

Data for an optimized crystal structure of HfZr5Ir6.

The structure in extended XYZ format:
```
12
Lattice="7.5464 -3.0727 0.0000 7.5464 3.0727 0.0000 -1.5254 0.0000 4.6501" Properties=species:S:1:pos:R:3 pbc="T T T"
Hf 0.0000 0.0000 0.0000
Zr 1.6026 0.0000 2.9584
Zr 4.4257 0.0000 1.6822
Zr 7.5464 0.0000 0.0000
Zr 9.1416 0.0000 2.9679
Zr 11.9647 0.0000 1.6917
Ir 3.7767 1.5454 4.1588
Ir 6.7836 1.5480 2.3250
Ir 9.7906 1.5454 0.4912
Ir 3.7767 -1.5454 4.1588
Ir 6.7836 -1.5480 2.3250
Ir 9.7906 -1.5454 0.4912
```

- E_tot: -115.66 eV for the cell shown
- E_form: -0.82 eV per atom
- Spin magnetization: 0.00 μB per cell

Number 3 is which compound?
HgOs3W